Record 1
VASP calculation (PBE) on crystalline Ac2ZrMoN5 at its relaxed geometry.

The structure belongs to space group Cmc2_1 (No. 36); the cell edges are 3.5493, 14.5626 and 10.9887 Å and the angles 90.00°, 90.00° and 90.00°. The distinct sites, in fractional coordinates, are Ac at (0.0000, 0.1148, 0.0000), Ac at (0.0000, 0.1432, 0.6375), Zr at (0.0000, 0.2096, 0.3451), Mo at (0.0000, 0.4560, 0.7685), N at (0.0000, 0.0431, 0.3458), N at (0.0000, 0.2887, 0.9773), N at (0.0000, 0.3250, 0.7124), N at (0.0000, 0.3521, 0.3275) and N at (0.0000, 0.4955, 0.1145).

For the uncorrected formation energy, the calculation gives -923.4 kJ/mol of formula units. The calculation puts the total magnetization at 0.00 μB per atom. The raw total energy is -0.643 Ry/atom.

Record 2
VASP calculation (PBE) on crystalline TeMo2 at its relaxed geometry.

The structure belongs to space group P-62m (No. 189); the cell edges are 6.6255, 6.6255 and 4.3284 Å and the angles 90.00°, 90.00° and 120.00°. The distinct sites, in fractional coordinates, are Te at (0.0000, 0.0000, 0.0000), Te at (0.3333, 0.6667, 0.5000), Mo at (0.0000, 0.2439, 0.5000) and Mo at (0.0000, 0.5636, 0.0000).

The relative energy among the computed polymorphs comes out at 0.556 eV per atom. For the uncorrected formation energy, the calculation gives 172.9 kJ/mol of formula units. The calculation puts the total magnetization at 0.00 μB per atom. The raw total energy is -0.564 Ry/atom.

Record 3
VASP calculation (PBE) on crystalline K2ZnPd at its relaxed geometry.

The structure belongs to space group I-42d (No. 122); the cell edges are 4.6149, 4.6149 and 22.0713 Å and the angles 90.00°, 90.00° and 90.00°. The distinct sites, in fractional coordinates, are K at (0.2418, 0.2500, 0.1250), Zn at (0.0000, 0.0000, 0.5000) and Pd at (0.0000, 0.0000, 0.0000).

The calculation puts the total magnetization at 0.00 μB per atom. The raw total energy is -0.128 Ry/atom.